1.
# MnNb3Ru2 (PBE, optimized geometry)
# Theoretical density: 9.49 g/cm3
# DFT total energy: -9.82 eV per atom
# Formation energy from the elements: -0.166 eV/atom
# DOS at the Fermi energy: 5.232 states/eV/f.u.
data_MnNb3Ru2
_cell_length_a 4.455
_cell_length_b 13.528
_cell_length_c 6.221
_cell_angle_alpha 90.00
_cell_angle_beta 90.00
_cell_angle_gamma 90.00
_symmetry_space_group_name_H-M 'C m m m'
_symmetry_Int_Tables_number 65
_symmetry_space_group_name_Hall '-C 2 2'
loop_
_atom_site_label
_atom_site_type_symbol
_atom_site_fract_x
_atom_site_fract_y
_atom_site_fract_z
_atom_site_occupancy
Mn1 Mn 0.000 0.157 0.000 1
Nb1 Nb 0.000 0.000 0.245 1
Nb2 Nb 0.000 0.328 0.238 1
Ru1 Ru 0.000 0.162 0.500 1
Ru2 Ru 0.000 0.500 0.000 1
Ru3 Ru 0.000 0.500 0.500 1

***

2.
# MnNb6Ru2 (PBE, optimized geometry)
# Theoretical density: 7.91 g/cm3
# DFT total energy: -9.53 eV per atom
# Formation energy from the elements: 0.268 eV/atom
# DOS at the Fermi energy: 5.910 states/eV/f.u.
data_MnNb6Ru2
_cell_length_a 4.416
_cell_length_b 6.100
_cell_length_c 12.693
_cell_angle_alpha 90.00
_cell_angle_beta 90.00
_cell_angle_gamma 90.00
_symmetry_space_group_name_H-M 'I m m m'
_symmetry_Int_Tables_number 71
_symmetry_space_group_name_Hall '-I 2 2'
loop_
_atom_site_label
_atom_site_type_symbol
_atom_site_fract_x
_atom_site_fract_y
_atom_site_fract_z
_atom_site_occupancy
Mn1 Mn 0.000 0.000 0.000 1
Nb1 Nb 0.000 0.246 0.161 1
Nb2 Nb 0.000 0.261 0.500 1
Ru1 Ru 0.000 0.000 0.332 1

***

3.
# Mn8NbRu3 (PBE, optimized geometry)
# Theoretical density: 9.49 g/cm3
# DFT total energy: -9.33 eV per atom
# Formation energy from the elements: -0.059 eV/atom
# DOS at the Fermi energy: 11.093 states/eV/f.u.
data_Mn8NbRu3
_cell_length_a 4.6889
_cell_length_b 4.6889
_cell_length_c 7.6767
_cell_angle_alpha 90.00
_cell_angle_beta 90.00
_cell_angle_gamma 120.00
_symmetry_space_group_name_H-M 'P 3 m 1'
_symmetry_Int_Tables_number 156
loop_
_symmetry_equiv_pos_as_xyz
'x,y,z'
'-y,x-y,z'
'-x+y,-x,z'
'-y,-x,z'
'-x+y,y,z'
'x,x-y,z'
loop_
_atom_site_label
_atom_site_type_symbol
_atom_site_fract_x
_atom_site_fract_y
_atom_site_fract_z
_atom_site_occupancy
Mn1 Mn 0.0000 0.0000 0.0000 1
Mn2 Mn 0.0000 0.0000 0.4990 1
Mn3 Mn 0.1749 0.3498 0.2554 1
Mn4 Mn 0.3478 0.1739 0.7471 1
Nb1 Nb 0.6667 0.3333 0.0624 1
Ru1 Ru 0.3333 0.6667 0.5689 1
Ru2 Ru 0.3333 0.6667 0.9242 1
Ru3 Ru 0.6667 0.3333 0.4327 1

***

4.
# Mn2NbRu2 (PBE, optimized geometry)
# Theoretical density: 9.68 g/cm3
# DFT total energy: -9.30 eV per atom
# Formation energy from the elements: 0.089 eV/atom
# DOS at the Fermi energy: 4.747 states/eV/f.u.
# Energy relative to the lowest polymorph listed for this composition: 66 meV/atom
data_Mn2NbRu2
_cell_length_a 7.200
_cell_length_b 7.200
_cell_length_c 2.680
_cell_angle_alpha 90.00
_cell_angle_beta 90.00
_cell_angle_gamma 90.00
_symmetry_space_group_name_H-M 'P 4/m b m'
_symmetry_Int_Tables_number 127
_symmetry_space_group_name_Hall '-P 4 2ab'
loop_
_atom_site_label
_atom_site_type_symbol
_atom_site_fract_x
_atom_site_fract_y
_atom_site_fract_z
_atom_site_occupancy
Mn1 Mn 0.169 0.331 0.000 1
Nb1 Nb 0.000 0.000 0.500 1
Ru1 Ru 0.128 0.628 0.500 1

***

5.
# MnNbSbRu (PBE, optimized geometry)
# Theoretical density: 9.43 g/cm3
# Formation energy (no corrections): -0.020 eV per atom
# DFT total energy: -8.18 eV per atom
# DOS at the Fermi energy: 2.069 states/eV/f.u.
data_MnNbSbRu
_cell_length_a 6.392
_cell_length_b 6.392
_cell_length_c 6.392
_cell_angle_alpha 90.00
_cell_angle_beta 90.00
_cell_angle_gamma 90.00
_symmetry_space_group_name_H-M 'F -4 3 m'
_symmetry_Int_Tables_number 216
_symmetry_space_group_name_Hall 'F -4 2 3'
loop_
_atom_site_label
_atom_site_type_symbol
_atom_site_fract_x
_atom_site_fract_y
_atom_site_fract_z
_atom_site_occupancy
Mn1 Mn 0.000 0.000 0.000 1
Nb1 Nb 0.250 0.250 0.750 1
Sb1 Sb 0.000 0.000 0.500 1
Ru1 Ru 0.250 0.250 0.250 1

***

6.
# MnNb2SnRu (PBE, optimized geometry)
# Theoretical density: 6.82 g/cm3
# DFT total energy: -7.14 eV per atom
# Formation energy from the elements: 1.376 eV/atom
# DOS at the Fermi energy: 8.092 states/eV/f.u.
data_MnNb2SnRu
_cell_length_a 4.789
_cell_length_b 4.789
_cell_length_c 4.893
_cell_angle_alpha 90.00
_cell_angle_beta 90.00
_cell_angle_gamma 90.00
_symmetry_space_group_name_H-M 'P 4/m m m'
_symmetry_Int_Tables_number 123
_symmetry_space_group_name_Hall '-P 4 2'
loop_
_atom_site_label
_atom_site_type_symbol
_atom_site_fract_x
_atom_site_fract_y
_atom_site_fract_z
_atom_site_occupancy
Mn1 Mn 0.000 0.000 0.000 1
Nb1 Nb 0.000 0.500 0.500 1
Sn1 Sn 0.500 0.500 0.000 1
Ru1 Ru 0.500 0.500 0.500 1

***

7.
# TaMnNbRu (PBE, optimized geometry)
# Theoretical density: 11.71 g/cm3
# DFT total energy: -10.33 eV per atom
# Formation energy from the elements: -0.235 eV/atom
# DOS at the Fermi energy: 2.808 states/eV/f.u.
data_TaMnNbRu
_cell_length_a 3.084
_cell_length_b 3.084
_cell_length_c 6.408
_cell_angle_alpha 90.00
_cell_angle_beta 90.00
_cell_angle_gamma 90.00
_symmetry_space_group_name_H-M 'P 4 m m'
_symmetry_Int_Tables_number 99
loop_
_symmetry_equiv_pos_as_xyz
'x,y,z'
'-y,x,z'
'-x,-y,z'
'y,-x,z'
'-x,y,z'
'y,x,z'
'x,-y,z'
'-y,-x,z'
loop_
_atom_site_label
_atom_site_type_symbol
_atom_site_fract_x
_atom_site_fract_y
_atom_site_fract_z
_atom_site_occupancy
Ta1 Ta 0.000 0.000 0.000 1
Mn1 Mn 0.500 0.500 0.768 1
Nb1 Nb 0.000 0.000 0.527 1
Ru1 Ru 0.500 0.500 0.254 1

***

8.
# TiMn2NbRu (PBE, optimized geometry)
# Theoretical density: 6.88 g/cm3
# DFT total energy: -7.85 eV per atom
# Formation energy from the elements: 1.270 eV/atom
# DOS at the Fermi energy: 5.291 states/eV/f.u.
data_TiMn2NbRu
_cell_length_a 4.213
_cell_length_b 4.213
_cell_length_c 4.784
_cell_angle_alpha 90.00
_cell_angle_beta 90.00
_cell_angle_gamma 90.00
_symmetry_space_group_name_H-M 'P 4/m m m'
_symmetry_Int_Tables_number 123
_symmetry_space_group_name_Hall '-P 4 2'
loop_
_atom_site_label
_atom_site_type_symbol
_atom_site_fract_x
_atom_site_fract_y
_atom_site_fract_z
_atom_site_occupancy
Ti1 Ti 0.000 0.000 0.000 1
Mn1 Mn 0.000 0.500 0.000 1
Nb1 Nb 0.000 0.000 0.500 1
Ru1 Ru 0.500 0.500 0.500 1

***

9.
# TmMnNbRu (PBE, optimized geometry)
# Theoretical density: 10.39 g/cm3
# DFT total energy: -8.34 eV per atom
# Formation energy from the elements: -0.089 eV/atom
# DOS at the Fermi energy: 4.016 states/eV/f.u.
data_TmMnNbRu
_cell_length_a 6.441
_cell_length_b 6.441
_cell_length_c 6.441
_cell_angle_alpha 90.00
_cell_angle_beta 90.00
_cell_angle_gamma 90.00
_symmetry_space_group_name_H-M 'F -4 3 m'
_symmetry_Int_Tables_number 216
_symmetry_space_group_name_Hall 'F -4 2 3'
loop_
_atom_site_label
_atom_site_type_symbol
_atom_site_fract_x
_atom_site_fract_y
_atom_site_fract_z
_atom_site_occupancy
Tm1 Tm 0.000 0.000 0.000 1
Mn1 Mn 0.250 0.250 0.750 1
Nb1 Nb 0.000 0.000 0.500 1
Ru1 Ru 0.250 0.250 0.250 1

***

10.
# MnNbVRu (PBE, optimized geometry)
# Theoretical density: 8.79 g/cm3
# DFT total energy: -9.56 eV per atom
# Formation energy from the elements: -0.148 eV/atom
# DOS at the Fermi energy: 3.731 states/eV/f.u.
data_MnNbVRu
_cell_length_a 6.096
_cell_length_b 6.096
_cell_length_c 6.096
_cell_angle_alpha 90.00
_cell_angle_beta 90.00
_cell_angle_gamma 90.00
_symmetry_space_group_name_H-M 'F -4 3 m'
_symmetry_Int_Tables_number 216
_symmetry_space_group_name_Hall 'F -4 2 3'
loop_
_atom_site_label
_atom_site_type_symbol
_atom_site_fract_x
_atom_site_fract_y
_atom_site_fract_z
_atom_site_occupancy
Mn1 Mn 0.000 0.000 0.000 1
Nb1 Nb 0.250 0.250 0.250 1
V1 V 0.250 0.250 0.750 1
Ru1 Ru 0.000 0.000 0.500 1

***

11.
# MnNb3S4 (PBE, optimized geometry)
# Theoretical density: 5.44 g/cm3
# Formation energy (no corrections): -0.572 eV per atom
# DFT total energy: -7.56 eV per atom
# DOS at the Fermi energy: 5.077 states/eV/f.u.
data_MnNb3S4
_cell_length_a 7.536
_cell_length_b 7.227
_cell_length_c 5.178
_cell_angle_alpha 90.00
_cell_angle_beta 90.00
_cell_angle_gamma 90.00
_symmetry_space_group_name_H-M 'P m n 21'
_symmetry_Int_Tables_number 31
loop_
_symmetry_equiv_pos_as_xyz
'x,y,z'
'-x+1/2,-y,z+1/2'
'-x,y,z'
'x+1/2,-y,z+1/2'
loop_
_atom_site_label
_atom_site_type_symbol
_atom_site_fract_x
_atom_site_fract_y
_atom_site_fract_z
_atom_site_occupancy
Mn1 Mn 0.000 0.154 0.000 1
Nb1 Nb 0.000 0.810 0.671 1
Nb2 Nb 0.241 0.655 0.188 1
S1 S 0.000 0.146 0.599 1
S2 S 0.000 0.876 0.173 1
S3 S 0.209 0.321 0.182 1

***

12.
# Mn2Nb2S7 (PBE, optimized geometry)
# Theoretical density: 3.59 g/cm3
# Formation energy (no corrections): -0.588 eV per atom
# DFT total energy: -6.71 eV per atom
# DOS at the Fermi energy: 4.347 states/eV/f.u.
data_Mn2Nb2S7
_cell_length_a 7.028
_cell_length_b 10.573
_cell_length_c 6.529
_cell_angle_alpha 90.00
_cell_angle_beta 97.22
_cell_angle_gamma 90.00
_symmetry_space_group_name_H-M 'C 1 2/m 1'
_symmetry_Int_Tables_number 12
loop_
_symmetry_equiv_pos_as_xyz
'x,y,z'
'-x,-y,-z'
'-x,y,-z'
'x,-y,z'
'x+1/2,y+1/2,z'
'-x+1/2,-y+1/2,-z'
'-x+1/2,y+1/2,-z'
'x+1/2,-y+1/2,z'
loop_
_atom_site_label
_atom_site_type_symbol
_atom_site_fract_x
_atom_site_fract_y
_atom_site_fract_z
_atom_site_occupancy
Mn1 Mn 0.234 0.000 0.149 1
Nb1 Nb 0.000 0.149 0.500 1
S1 S 0.000 0.500 0.000 1
S2 S 0.102 0.000 0.775 1
S3 S 0.242 0.300 0.710 1

***

> The highest DOS at the Fermi energy belongs to which entry?

Mn8NbRu3

***

> Which of these has the lowest DOS at the Fermi energy?

MnNbSbRu

***

> DFT total energy of number 6 (MnNb2SnRu)?

-7.14 eV per atom

***

> Number 11 is which compound?

MnNb3S4